InCu3IrSe4 PBE relaxed; VASP energy = -4.053 eV/atom
1.0
5.922 0.000 0.000
0.000 5.922 0.000
0.000 0.000 5.922
Cu Se Ir In
3 4 1 1
Direct
0.000 0.500 0.500 Cu
0.500 0.000 0.500 Cu
0.500 0.500 0.000 Cu
0.263 0.263 0.263 Se
0.737 0.263 0.737 Se
0.737 0.737 0.263 Se
0.263 0.737 0.737 Se
0.500 0.500 0.500 Ir
0.000 0.000 0.000 In